[1]
The following is a DFT calculation (PBE) of a relaxed LaTaMo2 crystal.

Lattice parameters (Å, degrees): 3.286 4.795 9.912 90.00 90.00 90.00
Space group Imm2 (No. 44)
Inequivalent atoms, fractional coordinates:
La: 0.000 0.000 0.000 [2 per cell]
Ta: 0.000 0.500 0.236 [2 per cell]
Mo: 0.000 0.000 0.471 [2 per cell]
Mo: 0.000 0.500 0.756 [2 per cell]

Output
Raw total energy   -9.112 eV/atom
E_form   0.50 eV/atom
Energy above the most stable polymorph in this dataset   209 meV/atom



[2]
The following is a DFT calculation (PBE) of a relaxed LaAl2Zn crystal.

Lattice parameters (Å, degrees): 7.227 4.411 11.137 90.00 90.00 90.00
Space group Pnma (No. 62)
Inequivalent atoms, fractional coordinates:
La: 0.173 0.250 0.136 [4 per cell]
Al: 0.148 0.250 0.843 [4 per cell]
Al: 0.189 0.250 0.433 [4 per cell]
Zn: 0.003 0.250 0.637 [4 per cell]

Output
Raw total energy   -3.818 eV/atom
E_form   -0.40 eV/atom



[3]
The following is a DFT calculation (PBE) of a relaxed La2Ga3PdAu4 crystal.

Lattice parameters (Å, degrees): 4.422 4.422 10.966 90.00 90.00 90.00
Space group P-4m2 (No. 115)
Inequivalent atoms, fractional coordinates:
La: 0.000 0.500 0.246 [2 per cell]
Ga: 0.000 0.000 0.000 [1 per cell]
Ga: 0.000 0.500 0.627 [2 per cell]
Pd: 0.500 0.500 0.000 [1 per cell]
Au: 0.000 0.000 0.500 [1 per cell]
Au: 0.000 0.500 0.857 [2 per cell]
Au: 0.500 0.500 0.500 [1 per cell]

Output
Raw total energy   -4.374 eV/atom
E_form   -0.65 eV/atom



[4]
The following is a DFT calculation (PBE) of a relaxed CaAcCuAu crystal.

Lattice parameters (Å, degrees): 4.688 4.206 11.195 90.00 90.00 90.00
Space group Amm2 (No. 38)
Inequivalent atoms, fractional coordinates:
Ca: 0.000 0.000 0.000 [2 per cell]
Ac: 0.500 0.000 0.722 [2 per cell]
Cu: 0.500 0.000 0.435 [2 per cell]
Au: 0.000 0.000 0.292 [2 per cell]

Output
Raw total energy   -3.849 eV/atom
E_form   -0.48 eV/atom
Energy above the most stable polymorph in this dataset   0 meV/atom



[5]
The following is a DFT calculation (PBE) of a relaxed SmYHoZr crystal.

Lattice parameters (Å, degrees): 7.807 7.807 7.807 90.00 90.00 90.00
Space group F-43m (No. 216)
Inequivalent atoms, fractional coordinates:
Sm: 0.000 0.000 0.000 [4 per cell]
Y: 0.250 0.250 0.750 [4 per cell]
Ho: 0.250 0.250 0.250 [4 per cell]
Zr: 0.000 0.000 0.500 [4 per cell]

Output
Raw total energy   -5.853 eV/atom
E_form   0.22 eV/atom



[6]
The following is a DFT calculation (PBE) of a relaxed TiNi2AuC crystal.

Lattice parameters (Å, degrees): 3.854 3.854 4.348 90.00 90.00 90.00
Space group P4/mmm (No. 123)
Inequivalent atoms, fractional coordinates:
Ti: 0.000 0.000 0.000 [1 per cell]
Ni: 0.000 0.500 0.500 [2 per cell]
Au: 0.500 0.500 0.000 [1 per cell]
C: 0.500 0.500 0.500 [1 per cell]

Output
Raw total energy   -6.090 eV/atom
E_form   0.30 eV/atom



Calculated magnetic moment, 0.0 0.0 0.0 0.0 2.0 0.0 μB/f.u. (same order as the records).